YHgPd5, relaxed, DFT GGA-PBE; spin magnetization = 0.00 μB per atom; formation energy = 0.09 eV/atom; calculated density = 8.1 g/cm³
1.0
-8.6619 1.3325 3.3498
-1.8451 -3.1286 -3.5265
5.6877 -1.8604 2.3084
Pd Y Hg
5 1 1
direct
0.1288 0.2500 0.0000
0.4590 0.3139 0.6278
0.8858 0.5000 0.0000
0.1288 0.7500 0.0000
0.8312 0.6861 0.3722
0.3887 0.5000 0.0000
0.7084 0.0000 0.0000